# 1
Computed, not measured: crystalline KLiN at its relaxed geometry at the PBE-GGA level of DFT.

The space group is C2/m (No. 12) and the conventional cell measures 8.064, 3.780 and 9.710 Å, with angles of 90.00, 96.22 and 90.00 degrees. The asymmetric unit holds K at (0.108, 0.000, 0.298), Li at (0.182, 0.000, 0.960) and N at (0.080, 0.500, 0.005).

The value obtained for the formation energy from raw total energies is -0.010 eV/atom. The calculation puts the total moment at 0.088 μB/atom. The calculated volume comes out at 24.5 Å³/atom. As for the calculated total energy: -3.7888 eV per atom.

=====

# 2
Computed, not measured: crystalline NaIn3Cu2 at its relaxed geometry at the PBE-GGA level of DFT.

The space group is Cmcm (No. 63) and the conventional cell measures 12.944, 7.871 and 5.337 Å, with angles of 90.00, 90.00 and 90.00 degrees. The asymmetric unit holds Na at (0.000, 0.156, 0.250), In at (0.000, 0.398, 0.750), In at (0.193, 0.188, 0.750) and Cu at (0.172, 0.500, 0.000).

The formation energy comes out at 0.2 kJ per mole of atoms. The calculation puts the total moment at 0.000 μB/atom. The calculated volume comes out at 22.7 Å³/atom. As for the calculated total energy: -2.9522 eV per atom.

=====

# 3
Computed, not measured: crystalline PmSm3Pt at its relaxed geometry at the PBE-GGA level of DFT.

The space group is Cm (No. 8) and the conventional cell measures 12.306, 3.860 and 13.676 Å, with angles of 90.00, 112.20 and 90.00 degrees. The asymmetric unit holds Pm at (0.000, 0.000, 0.000), Pm at (0.121, 0.000, 0.293), Sm at (0.114, 0.000, 0.613), Sm at (0.235, 0.000, 0.903), Sm at (0.273, 0.500, 0.145), Sm at (0.304, 0.500, 0.526), Sm at (0.431, 0.000, 0.379), Sm at (0.463, 0.000, 0.758), Pt at (0.273, 0.500, 0.760) and Pt at (0.460, 0.000, 0.143).

The formation energy comes out at -46.6 kJ per mole of atoms. The calculation puts the total moment at 0.000 μB/atom. The calculated volume comes out at 30.1 Å³/atom. As for the calculated total energy: -5.4728 eV per atom.

=====

# 4
Computed, not measured: crystalline Sm2ScSn3Pd4 at its relaxed geometry at the PBE-GGA level of DFT.

The space group is P-4m2 (No. 115) and the conventional cell measures 4.523, 4.523 and 10.952 Å, with angles of 90.00, 90.00 and 90.00 degrees. The asymmetric unit holds Sm at (0.000, 0.500, 0.230), Sc at (0.000, 0.000, 0.500), Sn at (0.000, 0.500, 0.871), Sn at (0.500, 0.500, 0.500), Pd at (0.000, 0.000, 0.000), Pd at (0.000, 0.500, 0.636) and Pd at (0.500, 0.500, 0.000).

The formation energy comes out at -76.2 kJ per mole of atoms. The calculation puts the total moment at 0.000 μB/atom. The calculated volume comes out at 22.4 Å³/atom. As for the calculated total energy: -5.6446 eV per atom.

=====

# 5
Computed, not measured: crystalline Ac2TlO4F at its relaxed geometry at the PBE-GGA level of DFT.

The space group is C2/m (No. 12) and the conventional cell measures 11.001, 3.683 and 7.050 Å, with angles of 90.00, 113.58 and 90.00 degrees. The asymmetric unit holds Ac at (0.186, 0.000, 0.203), Tl at (0.000, 0.000, 0.500), O at (0.127, 0.500, 0.435), O at (0.166, 0.000, 0.819) and F at (0.000, 0.500, 0.000).

The value obtained for the formation energy from raw total energies is -2.592 eV/atom. The calculation puts the total moment at 0.000 μB/atom. The calculated volume comes out at 16.4 Å³/atom. As for the calculated total energy: -6.6278 eV per atom.

=====

# 6
Computed, not measured: crystalline Cu2AgSe at its relaxed geometry at the PBE-GGA level of DFT.

The space group is P4/mmm (No. 123) and the conventional cell measures 3.338, 3.338 and 5.586 Å, with angles of 90.00, 90.00 and 90.00 degrees. The asymmetric unit holds Cu at (0.000, 0.000, 0.243), Ag at (0.500, 0.500, 0.500) and Se at (0.500, 0.500, 0.000).

The value obtained for the formation energy from raw total energies is 0.135 eV/atom. The calculation puts the total moment at 0.000 μB/atom. The calculated volume comes out at 15.6 Å³/atom. As for the calculated total energy: -3.4973 eV per atom.

=====

# 7
Computed, not measured: crystalline Dy5Tl2In at its relaxed geometry at the PBE-GGA level of DFT.

The space group is I4/mcm (No. 140) and the conventional cell measures 8.347, 8.347 and 13.294 Å, with angles of 90.00, 90.00 and 90.00 degrees. The asymmetric unit holds Dy at (0.000, 0.000, 0.000), Dy at (0.154, 0.346, 0.153), Tl at (0.143, 0.357, 0.500) and In at (0.000, 0.000, 0.250).

The formation energy comes out at -29.8 kJ per mole of atoms. The calculation puts the total moment at 0.000 μB/atom. The calculated volume comes out at 28.9 Å³/atom. As for the calculated total energy: -4.1187 eV per atom.

=====

# 8
Computed, not measured: crystalline Sc2BeSb at its relaxed geometry at the PBE-GGA level of DFT.

The space group is P4/mmm (No. 123) and the conventional cell measures 4.276, 4.276 and 4.199 Å, with angles of 90.00, 90.00 and 90.00 degrees. The asymmetric unit holds Sc at (0.000, 0.500, 0.000), Be at (0.000, 0.000, 0.500) and Sb at (0.500, 0.500, 0.500).

The value obtained for the formation energy from raw total energies is -0.292 eV/atom. The calculation puts the total moment at 0.276 μB/atom. The calculated volume comes out at 19.2 Å³/atom. As for the calculated total energy: -5.4199 eV per atom.